Entry from the Alexandria database: crystalline ErCoAs2O8 at its relaxed geometry (PBE with a Hubbard U).

Properties
Calculated density, Mg/m³: 5.60
DFT total energy, eV per atom: -6.474

Cell and atoms, written as POSCAR:
```
ErCoAs2O8
1.0
-4.1941 4.0185 -0.0178
1.6762 -1.8999 5.2268
4.6624 2.4938 -2.4045
Er Co As O
1 1 2 8
Cartesian
0.0000 0.0000 0.0000
2.5399 0.8266 2.7134
-0.3953 3.7858 0.0911
-1.2589 1.0593 2.6045
0.0077 2.2202 -0.4844
0.3897 0.7812 2.1755
2.6801 3.0527 -1.2851
0.1740 4.5333 -1.3449
-1.6339 2.6670 3.1083
-2.0072 4.0894 0.5956
0.2443 4.3003 1.5981
2.8533 2.7239 1.6103
```